Entry from the Alexandria database: a geometry-optimized PaNbSe6 structure (PBE-GGA).

Geometry as CIF:
```
data_PaNbSe6
_chemical_formula_sum 'Pa1 Nb1 Se6'
_cell_length_a 5.9736
_cell_length_b 6.4373
_cell_length_c 6.6729
_cell_angle_alpha 101.40
_cell_angle_beta 116.06
_cell_angle_gamma 102.93
_space_group_name_H-M_alt 'P -1'
_space_group_IT_number 2
loop_
_space_group_symop_operation_xyz
'x,y,z'
'-x,-y,-z'
loop_
_atom_site_label
_atom_site_type_symbol
_atom_site_fract_x
_atom_site_fract_y
_atom_site_fract_z
Pa1 Pa 0.0000 0.0000 0.0000
Nb1 Nb 0.0000 0.5000 0.5000
Se1 Se 0.1326 0.6419 0.1992
Se2 Se 0.1775 0.1726 0.4744
Se3 Se 0.4696 0.7528 0.8184
```

## Properties
volume	211	Å³ per cell
raw formation energy	-0.630	eV per atom
total magnetic moment	0.00	μB per formula unit

Entry from the Alexandria database: a geometry-optimized SrLaCd2 structure (PBE-GGA).

Geometry as CIF:
```
data_SrLaCd2
_chemical_formula_sum 'Sr3 La3 Cd6'
_cell_length_a 3.9768
_cell_length_b 3.9768
_cell_length_c 30.3971
_cell_angle_alpha 90.00
_cell_angle_beta 90.00
_cell_angle_gamma 120.00
_space_group_name_H-M_alt 'R -3 m'
_space_group_IT_number 166
_space_group_name_Hall '-R 3 2"'
loop_
_atom_site_label
_atom_site_type_symbol
_atom_site_fract_x
_atom_site_fract_y
_atom_site_fract_z
Sr1 Sr 0.0000 0.0000 0.0000
La1 La 0.0000 0.0000 0.5000
Cd1 Cd 0.0000 0.0000 0.2482
```

## Properties
volume	416	Å³ per cell
ΔE_f	-0.11	eV/atom
total magnetic moment	0.00	μB per formula unit

Entry from the Alexandria database: a geometry-optimized Dy8CdAg2 structure (PBE-GGA).

Geometry as CIF:
```
data_Dy8CdAg2
_chemical_formula_sum 'Dy16 Cd2 Ag4'
_cell_length_a 15.9908
_cell_length_b 5.2985
_cell_length_c 8.3563
_cell_angle_alpha 90.00
_cell_angle_beta 120.35
_cell_angle_gamma 90.00
_space_group_name_H-M_alt 'C 1 2/m 1'
_space_group_IT_number 12
loop_
_space_group_symop_operation_xyz
'x,y,z'
'-x,-y,-z'
'-x,y,-z'
'x,-y,z'
'x+1/2,y+1/2,z'
'-x+1/2,-y+1/2,-z'
'-x+1/2,y+1/2,-z'
'x+1/2,-y+1/2,z'
loop_
_atom_site_label
_atom_site_type_symbol
_atom_site_fract_x
_atom_site_fract_y
_atom_site_fract_z
Dy1 Dy 0.0669 0.0000 0.2231
Dy2 Dy 0.0987 0.5000 0.9604
Dy3 Dy 0.1423 0.0000 0.6967
Dy4 Dy 0.1838 0.5000 0.4580
Cd1 Cd 0.0000 0.5000 0.5000
Ag1 Ag 0.2242 0.0000 0.1213
```

## Properties
volume	611	Å³ per cell
ΔE_f	-0.13	eV/atom
total magnetic moment	0.00	μB per formula unit

Entry from the Alexandria database: a geometry-optimized CaMgAg structure (PBE-GGA).

Geometry as CIF:
```
data_CaMgAg
_chemical_formula_sum 'Ca4 Mg4 Ag4'
_cell_length_a 7.1957
_cell_length_b 7.1957
_cell_length_c 7.1957
_cell_angle_alpha 90.00
_cell_angle_beta 90.00
_cell_angle_gamma 90.00
_space_group_name_H-M_alt 'F -4 3 m'
_space_group_IT_number 216
_space_group_name_Hall 'F -4 2 3'
loop_
_atom_site_label
_atom_site_type_symbol
_atom_site_fract_x
_atom_site_fract_y
_atom_site_fract_z
Ca1 Ca 0.0000 0.0000 0.0000
Mg1 Mg 0.2500 0.2500 0.7500
Ag1 Ag 0.2500 0.2500 0.2500
```

## Properties
volume	373	Å³ per cell
ΔE_f	0.27	eV/atom
total magnetic moment	0.00	μB per formula unit

Entry from the Alexandria database: a geometry-optimized ZrBe2Os structure (PBE-GGA).

Geometry as CIF:
```
data_ZrBe2Os
_chemical_formula_sum 'Zr1 Be2 Os1'
_cell_length_a 3.0426
_cell_length_b 3.0426
_cell_length_c 5.6983
_cell_angle_alpha 90.00
_cell_angle_beta 90.00
_cell_angle_gamma 90.00
_space_group_name_H-M_alt 'P 4/m m m'
_space_group_IT_number 123
_space_group_name_Hall '-P 4 2'
loop_
_atom_site_label
_atom_site_type_symbol
_atom_site_fract_x
_atom_site_fract_y
_atom_site_fract_z
Zr1 Zr 0.0000 0.0000 0.0000
Be1 Be 0.5000 0.5000 0.3142
Os1 Os 0.0000 0.0000 0.5000
```

## Properties
volume	53	Å³ per cell
ΔE_f	-0.20	eV/atom
total magnetic moment	0.00	μB per formula unit
relative energy among the computed polymorphs	141	meV/atom

Entry from the Alexandria database: a geometry-optimized BeWCl2 structure (PBE-GGA).

Geometry as CIF:
```
data_BeWCl2
_chemical_formula_sum 'Be2 W2 Cl4'
_cell_length_a 2.8651
_cell_length_b 5.5414
_cell_length_c 10.0263
_cell_angle_alpha 90.00
_cell_angle_beta 90.00
_cell_angle_gamma 90.00
_space_group_name_H-M_alt 'C m m m'
_space_group_IT_number 65
_space_group_name_Hall '-C 2 2'
loop_
_atom_site_label
_atom_site_type_symbol
_atom_site_fract_x
_atom_site_fract_y
_atom_site_fract_z
Be1 Be 0.0000 0.0000 0.0000
W1 W 0.0000 0.0000 0.5000
Cl1 Cl 0.0000 0.5000 0.3024
```

## Properties
volume	159	Å³ per cell
raw formation energy	0.592	eV per atom
total magnetic moment	0.86	μB per formula unit
relative energy among the computed polymorphs	772	meV/atom

Entry from the Alexandria database: a geometry-optimized Cs3VAg2Cl9 structure (PBE-GGA).

Geometry as CIF:
```
data_Cs3VAg2Cl9
_chemical_formula_sum 'Cs3 V1 Ag2 Cl9'
_cell_length_a 7.4739
_cell_length_b 7.4739
_cell_length_c 9.1262
_cell_angle_alpha 90.00
_cell_angle_beta 90.00
_cell_angle_gamma 120.00
_space_group_name_H-M_alt 'P -3 m 1'
_space_group_IT_number 164
_space_group_name_Hall '-P 3 2"'
loop_
_atom_site_label
_atom_site_type_symbol
_atom_site_fract_x
_atom_site_fract_y
_atom_site_fract_z
Cs1 Cs 0.0000 0.0000 0.0000
Cs2 Cs 0.3333 0.6667 0.6845
V1 V 0.0000 0.0000 0.5000
Ag1 Ag 0.3333 0.6667 0.1576
Cl1 Cl 0.0000 0.5000 0.0000
Cl2 Cl 0.1502 0.3005 0.3520
```

## Properties
volume	441	Å³ per cell
raw formation energy	-1.303	eV per atom
total magnetic moment	1.36	μB per formula unit

Entry from the Alexandria database: a geometry-optimized CaPmReN4 structure (PBE-GGA).

Geometry as CIF:
```
data_CaPmReN4
_chemical_formula_sum 'Ca2 Pm2 Re2 N8'
_cell_length_a 6.3068
_cell_length_b 5.8454
_cell_length_c 7.1810
_cell_angle_alpha 90.00
_cell_angle_beta 90.85
_cell_angle_gamma 90.00
_space_group_name_H-M_alt 'P 1 21/m 1'
_space_group_IT_number 11
loop_
_space_group_symop_operation_xyz
'x,y,z'
'-x,-y,-z'
'-x,y+1/2,-z'
'x,-y+1/2,z'
loop_
_atom_site_label
_atom_site_type_symbol
_atom_site_fract_x
_atom_site_fract_y
_atom_site_fract_z
Ca1 Ca 0.1248 0.2500 0.1484
Pm1 Pm 0.3193 0.2500 0.5900
Re1 Re 0.1827 0.7500 0.3453
N1 N 0.0361 0.2500 0.8287
N2 N 0.0662 0.7500 0.5722
N3 N 0.3632 0.5047 0.3234
```

## Properties
volume	265	Å³ per cell
raw formation energy	-0.857	eV per atom
total magnetic moment	0.00	μB per formula unit

Entry from the Alexandria database: a geometry-optimized DyTm4Sc3 structure (PBE-GGA).

Geometry as CIF:
```
data_DyTm4Sc3
_chemical_formula_sum 'Dy2 Tm8 Sc6'
_cell_length_a 11.0005
_cell_length_b 5.9267
_cell_length_c 6.8909
_cell_angle_alpha 90.00
_cell_angle_beta 90.00
_cell_angle_gamma 90.00
_space_group_name_H-M_alt 'P m n 21'
_space_group_IT_number 31
loop_
_space_group_symop_operation_xyz
'x,y,z'
'-x+1/2,-y,z+1/2'
'-x,y,z'
'x+1/2,-y,z+1/2'
loop_
_atom_site_label
_atom_site_type_symbol
_atom_site_fract_x
_atom_site_fract_y
_atom_site_fract_z
Dy1 Dy 0.0000 0.1616 0.0000
Tm1 Tm 0.0000 0.1624 0.4963
Tm2 Tm 0.0000 0.6695 0.7479
Tm3 Tm 0.2497 0.4996 0.4985
Sc1 Sc 0.0000 0.6660 0.2492
Sc2 Sc 0.2483 0.9961 0.2483
```

## Properties
volume	449	Å³ per cell
ΔE_f	0.03	eV/atom
total magnetic moment	0.00	μB per formula unit
relative energy among the computed polymorphs	0	meV/atom

Entry from the Alexandria database: a geometry-optimized ZrHgP2 structure (PBE-GGA).

Geometry as CIF:
```
data_ZrHgP2
_chemical_formula_sum 'Zr2 Hg2 P4'
_cell_length_a 9.4085
_cell_length_b 3.2080
_cell_length_c 5.5780
_cell_angle_alpha 90.00
_cell_angle_beta 94.64
_cell_angle_gamma 90.00
_space_group_name_H-M_alt 'C 1 2/m 1'
_space_group_IT_number 12
loop_
_space_group_symop_operation_xyz
'x,y,z'
'-x,-y,-z'
'-x,y,-z'
'x,-y,z'
'x+1/2,y+1/2,z'
'-x+1/2,-y+1/2,-z'
'-x+1/2,y+1/2,-z'
'x+1/2,-y+1/2,z'
loop_
_atom_site_label
_atom_site_type_symbol
_atom_site_fract_x
_atom_site_fract_y
_atom_site_fract_z
Zr1 Zr 0.0000 0.0000 0.0000
Hg1 Hg 0.0000 0.5000 0.5000
P1 P 0.2301 0.5000 0.1371
```

## Properties
volume	168	Å³ per cell
ΔE_f	-0.30	eV/atom
total magnetic moment	0.00	μB per formula unit